First-principles (PBE) data for AgPbSCl2 after structural relaxation, as listed in Alexandria.

Structure (POSCAR):
```
AgPbSCl2
1.0
5.4691 0.0000 0.0000
0.0000 5.4691 0.0000
0.0000 0.0000 5.1397
Pb S Ag Cl
1 1 1 2
direct
0.0000 0.0000 0.0000
0.0000 0.0000 0.5000
0.5000 0.5000 0.5000
0.0000 0.5000 0.0000
0.5000 0.0000 0.0000
```

Properties
Energy relative to the elements, uncorrected in eV per atom: -0.0890
Total energy in eV per atom: -2.965
ΔE to the lowest computed polymorph in meV per atom: 180
Theoretical density in g cm⁻³: 4.52
Size of the total moment in μB per cell: 0.0